a | First-principles (PBE) data for a relaxed LiGdPb2 crystal, as listed in Alexandria via LeMat-Bulk.

Cell lengths 4.8236, 4.8236, 4.4821 Å; angles 90.00, 90.00, 90.00 degrees
Sites, in units of the cell vectors:
Li 0.0000 0.0000 0.0000
Gd 0.5000 0.5000 0.0000
Pb 0.0000 0.5000 0.5000
Pb 0.5000 0.0000 0.5000

Properties
Total magnetic moment = 1.743 μB/atom

b | First-principles (PBE) data for a relaxed LiGdPb2 crystal, as listed in Alexandria via LeMat-Bulk.

Cell lengths 5.3359, 5.3359, 5.3359 Å; angles 60.00, 60.00, 60.00 degrees
Sites, in units of the cell vectors:
Li 0.0000 0.0000 0.0000
Gd 0.5000 0.5000 0.5000
Pb 0.2500 0.2500 0.2500
Pb 0.7500 0.7500 0.7500

Properties
Total magnetic moment = 1.726 μB/atom

a (85 meV per atom below the next structure)

a | First-principles (PBE) data for a relaxed LiPm2Gd crystal, as listed in Alexandria via LeMat-Bulk.

Cell lengths 5.5759, 5.5759, 5.5759 Å; angles 60.00, 60.00, 60.00 degrees
Sites, in units of the cell vectors:
Li 0.0000 0.0000 0.0000
Pm 0.2500 0.2500 0.2500
Pm 0.7500 0.7500 0.7500
Gd 0.5000 0.5000 0.5000

Properties
Total magnetic moment = 1.825 μB/atom

b | First-principles (PBE) data for a relaxed LiPm2Gd crystal, as listed in Alexandria via LeMat-Bulk.

Cell lengths 3.6614, 3.6614, 9.0720 Å; angles 90.00, 90.00, 90.00 degrees
Sites, in units of the cell vectors:
Li 0.0000 0.0000 0.0000
Pm 0.5000 0.5000 0.2262
Pm 0.5000 0.5000 0.7738
Gd 0.0000 0.0000 0.5000

Properties
Total magnetic moment = 1.862 μB/atom

b (102 meV per atom below the next structure)

a | First-principles (PBE) data for a relaxed LiPmGd2 crystal, as listed in Alexandria via LeMat-Bulk.

Cell lengths 12.3859, 12.3859, 12.3859 Å; angles 16.25, 16.25, 16.25 degrees
Sites, in units of the cell vectors:
Li 0.0000 0.0000 0.0000
Pm 0.5000 0.5000 0.5000
Gd 0.0879 0.0879 0.0879
Gd 0.9121 0.9121 0.9121

Properties
Total magnetic moment = 3.793 μB/atom

b | First-principles (PBE) data for a relaxed LiPmGd2 crystal, as listed in Alexandria via LeMat-Bulk.

Cell lengths 3.6542, 3.6542, 8.8859 Å; angles 90.00, 90.00, 90.00 degrees
Sites, in units of the cell vectors:
Li 0.0000 0.0000 0.0000
Pm 0.0000 0.0000 0.5000
Gd 0.5000 0.5000 0.2196
Gd 0.5000 0.5000 0.7804

Properties
Total magnetic moment = 3.770 μB/atom

b (113 meV per atom below the next structure)